## KSrPO4 (PBE-GGA)

Data for an optimized crystal structure of KSrPO4.

```
KSrPO4
1.0
7.447 0.000 0.000
0.000 5.630 0.000
0.000 0.000 9.759
K Sr P O
4 4 4 16
direct
0.159 0.250 0.082 K
0.341 0.750 0.582 K
0.659 0.250 0.418 K
0.841 0.750 0.918 K
0.001 0.250 0.696 Sr
0.499 0.750 0.196 Sr
0.501 0.250 0.804 Sr
0.999 0.750 0.304 Sr
0.226 0.250 0.416 P
0.274 0.750 0.916 P
0.726 0.250 0.084 P
0.774 0.750 0.584 P
0.018 0.250 0.427 O
0.192 0.750 0.064 O
0.212 0.523 0.838 O
0.212 0.977 0.838 O
0.288 0.023 0.338 O
0.288 0.477 0.338 O
0.308 0.250 0.564 O
0.482 0.750 0.927 O
0.518 0.250 0.073 O
0.692 0.750 0.436 O
0.712 0.523 0.662 O
0.712 0.977 0.662 O
0.788 0.023 0.162 O
0.788 0.477 0.162 O
0.808 0.250 0.936 O
0.982 0.750 0.573 O
```

Calculated values
Its energy above the lowest structure with this stoichiometry is 0.0000 eV/atom. The value obtained for the formation energy without anion corrections is -2.665 eV per atom. As for the total moment: 0.00 μB per formula unit. Its volume is 14.61 Å³ per atom.